(P)
The following is a PBE calculation of a relaxed Li2MgCl crystal, from Alexandria via LeMat-Bulk.

CIF file:
```
data_Li2MgCl
_chemical_formula_sum 'Li2 Mg1 Cl1'
_symmetry_space_group_name_H-M 'P 1'
_symmetry_Int_Tables_number 1
_cell_length_a 3.300
_cell_length_b 3.300
_cell_length_c 8.633
_cell_angle_alpha 90.00
_cell_angle_beta 90.00
_cell_angle_gamma 90.00
loop_
_symmetry_equiv_pos_as_xyz
'x,y,z'
loop_
_atom_site_label
_atom_site_type_symbol
_atom_site_fract_x
_atom_site_fract_y
_atom_site_fract_z
_atom_site_occupancy
Li1 Li 0.000 0.000 0.000 1
Li2 Li 0.500 0.500 0.363 1
Mg1 Mg 0.000 0.000 0.606 1
Cl1 Cl 0.500 0.500 0.086 1
```

## Properties
Calculated volume (Å³ per atom): 23.499


(Q)
The following is a PBE calculation of a relaxed Li2MgCl crystal, from Alexandria via LeMat-Bulk.

CIF file:
```
data_Li2MgCl
_chemical_formula_sum 'Li2 Mg1 Cl1'
_symmetry_space_group_name_H-M 'P 1'
_symmetry_Int_Tables_number 1
_cell_length_a 5.073
_cell_length_b 5.073
_cell_length_c 5.073
_cell_angle_alpha 60.00
_cell_angle_beta 60.00
_cell_angle_gamma 60.00
loop_
_symmetry_equiv_pos_as_xyz
'x,y,z'
loop_
_atom_site_label
_atom_site_type_symbol
_atom_site_fract_x
_atom_site_fract_y
_atom_site_fract_z
_atom_site_occupancy
Li1 Li 0.250 0.250 0.250 1
Li2 Li 0.750 0.750 0.750 1
Mg1 Mg 0.000 0.000 0.000 1
Cl1 Cl 0.500 0.500 0.500 1
```

## Properties
Calculated volume (Å³ per atom): 23.078


(R)
The following is a PBE calculation of a relaxed Li2MgCl crystal, from Alexandria via LeMat-Bulk.

CIF file:
```
data_Li2MgCl
_chemical_formula_sum 'Li2 Mg1 Cl1'
_symmetry_space_group_name_H-M 'P 1'
_symmetry_Int_Tables_number 1
_cell_length_a 8.940
_cell_length_b 8.940
_cell_length_c 8.940
_cell_angle_alpha 21.89
_cell_angle_beta 21.89
_cell_angle_gamma 21.89
loop_
_symmetry_equiv_pos_as_xyz
'x,y,z'
loop_
_atom_site_label
_atom_site_type_symbol
_atom_site_fract_x
_atom_site_fract_y
_atom_site_fract_z
_atom_site_occupancy
Li1 Li 0.000 0.000 0.000 1
Li2 Li 0.229 0.229 0.229 1
Mg1 Mg 0.473 0.473 0.473 1
Cl1 Cl 0.719 0.719 0.719 1
```

## Properties
Calculated volume (Å³ per atom): 21.768


(S)
The following is a PBE calculation of a relaxed Li2MgCl crystal, from Alexandria via LeMat-Bulk.

CIF file:
```
data_Li2MgCl
_chemical_formula_sum 'Li2 Mg1 Cl1'
_symmetry_space_group_name_H-M 'P 1'
_symmetry_Int_Tables_number 1
_cell_length_a 3.375
_cell_length_b 3.375
_cell_length_c 8.575
_cell_angle_alpha 101.41
_cell_angle_beta 101.41
_cell_angle_gamma 60.00
loop_
_symmetry_equiv_pos_as_xyz
'x,y,z'
loop_
_atom_site_label
_atom_site_type_symbol
_atom_site_fract_x
_atom_site_fract_y
_atom_site_fract_z
_atom_site_occupancy
Li1 Li 0.228 0.228 0.184 1
Li2 Li 0.772 0.772 0.816 1
Mg1 Mg 0.000 0.000 0.500 1
Cl1 Cl 0.500 0.500 0.000 1
```

## Properties
Calculated volume (Å³ per atom): 20.582


Structures ranked by computed energy, the most stable listed first: (S), (P), (R), (Q).


(P)
The following is a PBE calculation of a relaxed Li2MgCl crystal, from Alexandria via LeMat-Bulk.

CIF file:
```
data_Li2MgCl
_chemical_formula_sum 'Li2 Mg1 Cl1'
_symmetry_space_group_name_H-M 'P 1'
_symmetry_Int_Tables_number 1
_cell_length_a 3.780
_cell_length_b 3.790
_cell_length_c 6.357
_cell_angle_alpha 90.00
_cell_angle_beta 90.00
_cell_angle_gamma 90.00
loop_
_symmetry_equiv_pos_as_xyz
'x,y,z'
loop_
_atom_site_label
_atom_site_type_symbol
_atom_site_fract_x
_atom_site_fract_y
_atom_site_fract_z
_atom_site_occupancy
Li1 Li 0.000 0.000 0.000 1
Li2 Li 0.500 0.000 0.500 1
Mg1 Mg 0.000 0.500 0.500 1
Cl1 Cl 0.500 0.500 0.000 1
```

## Properties
Calculated volume (Å³ per atom): 22.766


(Q)
The following is a PBE calculation of a relaxed Li2MgCl crystal, from Alexandria via LeMat-Bulk.

CIF file:
```
data_Li2MgCl
_chemical_formula_sum 'Li2 Mg1 Cl1'
_symmetry_space_group_name_H-M 'P 1'
_symmetry_Int_Tables_number 1
_cell_length_a 6.687
_cell_length_b 6.687
_cell_length_c 6.687
_cell_angle_alpha 147.06
_cell_angle_beta 147.06
_cell_angle_gamma 47.27
loop_
_symmetry_equiv_pos_as_xyz
'x,y,z'
loop_
_atom_site_label
_atom_site_type_symbol
_atom_site_fract_x
_atom_site_fract_y
_atom_site_fract_z
_atom_site_occupancy
Li1 Li 0.000 0.000 0.000 1
Li2 Li 0.750 0.250 0.500 1
Mg1 Mg 0.250 0.750 0.500 1
Cl1 Cl 0.500 0.500 0.000 1
```

## Properties
Calculated volume (Å³ per atom): 22.015


(R)
The following is a PBE calculation of a relaxed Li2MgCl crystal, from Alexandria via LeMat-Bulk.

CIF file:
```
data_Li2MgCl
_chemical_formula_sum 'Li2 Mg1 Cl1'
_symmetry_space_group_name_H-M 'P 1'
_symmetry_Int_Tables_number 1
_cell_length_a 8.511
_cell_length_b 8.511
_cell_length_c 3.301
_cell_angle_alpha 101.18
_cell_angle_beta 101.18
_cell_angle_gamma 21.70
loop_
_symmetry_equiv_pos_as_xyz
'x,y,z'
loop_
_atom_site_label
_atom_site_type_symbol
_atom_site_fract_x
_atom_site_fract_y
_atom_site_fract_z
_atom_site_occupancy
Li1 Li 0.000 0.000 0.000 1
Li2 Li 0.184 0.184 0.684 1
Mg1 Mg 0.363 0.363 0.361 1
Cl1 Cl 0.618 0.618 0.118 1
```

## Properties
Calculated volume (Å³ per atom): 21.662


(S)
The following is a PBE calculation of a relaxed Li2MgCl crystal, from Alexandria via LeMat-Bulk.

CIF file:
```
data_Li2MgCl
_chemical_formula_sum 'Li2 Mg1 Cl1'
_symmetry_space_group_name_H-M 'P 1'
_symmetry_Int_Tables_number 1
_cell_length_a 5.184
_cell_length_b 5.184
_cell_length_c 3.260
_cell_angle_alpha 90.09
_cell_angle_beta 90.09
_cell_angle_gamma 111.55
loop_
_symmetry_equiv_pos_as_xyz
'x,y,z'
loop_
_atom_site_label
_atom_site_type_symbol
_atom_site_fract_x
_atom_site_fract_y
_atom_site_fract_z
_atom_site_occupancy
Li1 Li 0.000 0.500 0.000 1
Li2 Li 0.500 0.000 0.000 1
Mg1 Mg 0.000 0.000 0.500 1
Cl1 Cl 0.500 0.500 0.500 1
```

## Properties
Calculated volume (Å³ per atom): 20.371


Structures ranked by computed energy, the most stable listed first: (R), (Q), (P), (S).


(P)
The following is a PBE calculation of a relaxed Li2MgCl crystal, from Alexandria via LeMat-Bulk.

CIF file:
```
data_Li2MgCl
_chemical_formula_sum 'Li2 Mg1 Cl1'
_symmetry_space_group_name_H-M 'P 1'
_symmetry_Int_Tables_number 1
_cell_length_a 3.172
_cell_length_b 3.172
_cell_length_c 7.999
_cell_angle_alpha 90.00
_cell_angle_beta 90.00
_cell_angle_gamma 90.00
loop_
_symmetry_equiv_pos_as_xyz
'x,y,z'
loop_
_atom_site_label
_atom_site_type_symbol
_atom_site_fract_x
_atom_site_fract_y
_atom_site_fract_z
_atom_site_occupancy
Li1 Li 0.000 0.000 0.190 1
Li2 Li 0.000 0.000 0.810 1
Mg1 Mg 0.500 0.500 0.500 1
Cl1 Cl 0.500 0.500 0.000 1
```

## Properties
Calculated volume (Å³ per atom): 20.118


(Q)
The following is a PBE calculation of a relaxed Li2MgCl crystal, from Alexandria via LeMat-Bulk.

CIF file:
```
data_Li2MgCl
_chemical_formula_sum 'Li4 Mg2 Cl2'
_symmetry_space_group_name_H-M 'P 1'
_symmetry_Int_Tables_number 1
_cell_length_a 6.216
_cell_length_b 6.216
_cell_length_c 6.216
_cell_angle_alpha 108.46
_cell_angle_beta 108.46
_cell_angle_gamma 111.51
loop_
_symmetry_equiv_pos_as_xyz
'x,y,z'
loop_
_atom_site_label
_atom_site_type_symbol
_atom_site_fract_x
_atom_site_fract_y
_atom_site_fract_z
_atom_site_occupancy
Li1 Li 0.047 0.125 0.422 1
Li2 Li 0.375 0.953 0.078 1
Li3 Li 0.703 0.625 0.578 1
Li4 Li 0.875 0.297 0.922 1
Mg1 Mg 0.250 0.750 0.500 1
Mg2 Mg 0.500 0.500 0.000 1
Cl1 Cl 0.000 0.000 0.000 1
Cl2 Cl 0.750 0.250 0.500 1
```

## Properties
Calculated volume (Å³ per atom): 23.086


Structures ranked by computed energy, the most stable listed first: (P), (Q).


(P)
The following is a PBE calculation of a relaxed Li2MgCl2 crystal, from Alexandria via LeMat-Bulk.

CIF file:
```
data_Li2MgCl2
_chemical_formula_sum 'Li4 Mg2 Cl4'
_symmetry_space_group_name_H-M 'P 1'
_symmetry_Int_Tables_number 1
_cell_length_a 8.086
_cell_length_b 8.086
_cell_length_c 3.371
_cell_angle_alpha 90.00
_cell_angle_beta 90.00
_cell_angle_gamma 90.00
loop_
_symmetry_equiv_pos_as_xyz
'x,y,z'
loop_
_atom_site_label
_atom_site_type_symbol
_atom_site_fract_x
_atom_site_fract_y
_atom_site_fract_z
_atom_site_occupancy
Li1 Li 0.115 0.385 0.000 1
Li2 Li 0.385 0.885 0.000 1
Li3 Li 0.615 0.115 0.000 1
Li4 Li 0.885 0.615 0.000 1
Mg1 Mg 0.000 0.000 0.000 1
Mg2 Mg 0.500 0.500 0.000 1
Cl1 Cl 0.138 0.638 0.500 1
Cl2 Cl 0.362 0.138 0.500 1
Cl3 Cl 0.638 0.862 0.500 1
Cl4 Cl 0.862 0.362 0.500 1
```

## Properties
Calculated volume (Å³ per atom): 22.041


(Q)
The following is a PBE calculation of a relaxed Li2MgCl2 crystal, from Alexandria via LeMat-Bulk.

CIF file:
```
data_Li2MgCl2
_chemical_formula_sum 'Li2 Mg1 Cl2'
_symmetry_space_group_name_H-M 'P 1'
_symmetry_Int_Tables_number 1
_cell_length_a 8.187
_cell_length_b 8.187
_cell_length_c 8.187
_cell_angle_alpha 145.44
_cell_angle_beta 145.44
_cell_angle_gamma 49.69
loop_
_symmetry_equiv_pos_as_xyz
'x,y,z'
loop_
_atom_site_label
_atom_site_type_symbol
_atom_site_fract_x
_atom_site_fract_y
_atom_site_fract_z
_atom_site_occupancy
Li1 Li 0.250 0.250 0.000 1
Li2 Li 0.750 0.750 0.000 1
Mg1 Mg 0.000 0.000 0.000 1
Cl1 Cl 0.250 0.750 0.500 1
Cl2 Cl 0.750 0.250 0.500 1
```

## Properties
Calculated volume (Å³ per atom): 35.161


Structures ranked by computed energy, the most stable listed first: (Q), (P).


(P)
The following is a PBE calculation of a relaxed LiMgNi2Cl crystal, from Alexandria via LeMat-Bulk.

CIF file:
```
data_LiMgNi2Cl
_chemical_formula_sum 'Li1 Mg1 Ni2 Cl1'
_symmetry_space_group_name_H-M 'P 1'
_symmetry_Int_Tables_number 1
_cell_length_a 4.231
_cell_length_b 4.231
_cell_length_c 4.923
_cell_angle_alpha 90.00
_cell_angle_beta 90.00
_cell_angle_gamma 90.00
loop_
_symmetry_equiv_pos_as_xyz
'x,y,z'
loop_
_atom_site_label
_atom_site_type_symbol
_atom_site_fract_x
_atom_site_fract_y
_atom_site_fract_z
_atom_site_occupancy
Li1 Li 0.000 0.000 0.000 1
Mg1 Mg 0.500 0.500 0.000 1
Ni1 Ni 0.000 0.500 0.500 1
Ni2 Ni 0.500 0.000 0.500 1
Cl1 Cl 0.500 0.500 0.500 1
```

## Properties
Calculated volume (Å³ per atom): 17.625


(Q)
The following is a PBE calculation of a relaxed LiMgNi2Cl crystal, from Alexandria via LeMat-Bulk.

CIF file:
```
data_LiMgNi2Cl
_chemical_formula_sum 'Li1 Mg1 Ni2 Cl1'
_symmetry_space_group_name_H-M 'P 1'
_symmetry_Int_Tables_number 1
_cell_length_a 4.191
_cell_length_b 4.191
_cell_length_c 4.434
_cell_angle_alpha 90.00
_cell_angle_beta 90.00
_cell_angle_gamma 90.00
loop_
_symmetry_equiv_pos_as_xyz
'x,y,z'
loop_
_atom_site_label
_atom_site_type_symbol
_atom_site_fract_x
_atom_site_fract_y
_atom_site_fract_z
_atom_site_occupancy
Li1 Li 0.000 0.000 0.000 1
Mg1 Mg 0.500 0.500 0.500 1
Ni1 Ni 0.000 0.500 0.000 1
Ni2 Ni 0.500 0.000 0.000 1
Cl1 Cl 0.000 0.000 0.500 1
```

## Properties
Calculated volume (Å³ per atom): 15.579


Structures ranked by computed energy, the most stable listed first: (P), (Q).


(P)
The following is a PBE calculation of a relaxed LiMgPCl2 crystal, from Alexandria via LeMat-Bulk.

CIF file:
```
data_LiMgPCl2
_chemical_formula_sum 'Li1 Mg1 P1 Cl2'
_symmetry_space_group_name_H-M 'P 1'
_symmetry_Int_Tables_number 1
_cell_length_a 5.053
_cell_length_b 5.053
_cell_length_c 5.115
_cell_angle_alpha 90.00
_cell_angle_beta 90.00
_cell_angle_gamma 90.00
loop_
_symmetry_equiv_pos_as_xyz
'x,y,z'
loop_
_atom_site_label
_atom_site_type_symbol
_atom_site_fract_x
_atom_site_fract_y
_atom_site_fract_z
_atom_site_occupancy
Li1 Li 0.000 0.000 0.000 1
Mg1 Mg 0.500 0.500 0.500 1
P1 P 0.500 0.500 0.000 1
Cl1 Cl 0.000 0.500 0.500 1
Cl2 Cl 0.500 0.000 0.500 1
```

## Properties
Calculated volume (Å³ per atom): 26.122


(Q)
The following is a PBE calculation of a relaxed LiMgPCl2 crystal, from Alexandria via LeMat-Bulk.

CIF file:
```
data_LiMgPCl2
_chemical_formula_sum 'Li1 Mg1 P1 Cl2'
_symmetry_space_group_name_H-M 'P 1'
_symmetry_Int_Tables_number 1
_cell_length_a 4.542
_cell_length_b 4.542
_cell_length_c 5.202
_cell_angle_alpha 90.00
_cell_angle_beta 90.00
_cell_angle_gamma 90.00
loop_
_symmetry_equiv_pos_as_xyz
'x,y,z'
loop_
_atom_site_label
_atom_site_type_symbol
_atom_site_fract_x
_atom_site_fract_y
_atom_site_fract_z
_atom_site_occupancy
Li1 Li 0.000 0.000 0.000 1
Mg1 Mg 0.500 0.500 0.500 1
P1 P 0.000 0.000 0.500 1
Cl1 Cl 0.000 0.500 0.000 1
Cl2 Cl 0.500 0.000 0.000 1
```

## Properties
Calculated volume (Å³ per atom): 21.468


Structures ranked by computed energy, the most stable listed first: (P), (Q).


(P)
The following is a PBE calculation of a relaxed LiMgP2Cl crystal, from Alexandria via LeMat-Bulk.

CIF file:
```
data_LiMgP2Cl
_chemical_formula_sum 'Li1 Mg1 P2 Cl1'
_symmetry_space_group_name_H-M 'P 1'
_symmetry_Int_Tables_number 1
_cell_length_a 4.917
_cell_length_b 4.917
_cell_length_c 5.157
_cell_angle_alpha 90.00
_cell_angle_beta 90.00
_cell_angle_gamma 90.00
loop_
_symmetry_equiv_pos_as_xyz
'x,y,z'
loop_
_atom_site_label
_atom_site_type_symbol
_atom_site_fract_x
_atom_site_fract_y
_atom_site_fract_z
_atom_site_occupancy
Li1 Li 0.000 0.000 0.000 1
Mg1 Mg 0.500 0.500 0.500 1
P1 P 0.000 0.500 0.500 1
P2 P 0.500 0.000 0.500 1
Cl1 Cl 0.500 0.500 0.000 1
```

## Properties
Calculated volume (Å³ per atom): 24.934


(Q)
The following is a PBE calculation of a relaxed LiMgP2Cl crystal, from Alexandria via LeMat-Bulk.

CIF file:
```
data_LiMgP2Cl
_chemical_formula_sum 'Li1 Mg1 P2 Cl1'
_symmetry_space_group_name_H-M 'P 1'
_symmetry_Int_Tables_number 1
_cell_length_a 4.290
_cell_length_b 4.290
_cell_length_c 5.259
_cell_angle_alpha 90.00
_cell_angle_beta 90.00
_cell_angle_gamma 90.00
loop_
_symmetry_equiv_pos_as_xyz
'x,y,z'
loop_
_atom_site_label
_atom_site_type_symbol
_atom_site_fract_x
_atom_site_fract_y
_atom_site_fract_z
_atom_site_occupancy
Li1 Li 0.000 0.000 0.000 1
Mg1 Mg 0.500 0.500 0.500 1
P1 P 0.000 0.500 0.000 1
P2 P 0.500 0.000 0.000 1
Cl1 Cl 0.000 0.000 0.500 1
```

## Properties
Calculated volume (Å³ per atom): 19.358


Structures ranked by computed energy, the most stable listed first: (P), (Q).


(P)
The following is a PBE calculation of a relaxed LiMgS2Cl crystal, from Alexandria via LeMat-Bulk.

CIF file:
```
data_LiMgS2Cl
_chemical_formula_sum 'Li1 Mg1 S2 Cl1'
_symmetry_space_group_name_H-M 'P 1'
_symmetry_Int_Tables_number 1
_cell_length_a 4.308
_cell_length_b 4.308
_cell_length_c 5.209
_cell_angle_alpha 90.00
_cell_angle_beta 90.00
_cell_angle_gamma 90.00
loop_
_symmetry_equiv_pos_as_xyz
'x,y,z'
loop_
_atom_site_label
_atom_site_type_symbol
_atom_site_fract_x
_atom_site_fract_y
_atom_site_fract_z
_atom_site_occupancy
Li1 Li 0.000 0.000 0.000 1
Mg1 Mg 0.500 0.500 0.500 1
S1 S 0.000 0.500 0.000 1
S2 S 0.500 0.000 0.000 1
Cl1 Cl 0.000 0.000 0.500 1
```

## Properties
Calculated volume (Å³ per atom): 19.335


(Q)
The following is a PBE calculation of a relaxed LiMgS2Cl crystal, from Alexandria via LeMat-Bulk.

CIF file:
```
data_LiMgS2Cl
_chemical_formula_sum 'Li1 Mg1 S2 Cl1'
_symmetry_space_group_name_H-M 'P 1'
_symmetry_Int_Tables_number 1
_cell_length_a 4.842
_cell_length_b 4.842
_cell_length_c 5.115
_cell_angle_alpha 90.00
_cell_angle_beta 90.00
_cell_angle_gamma 90.00
loop_
_symmetry_equiv_pos_as_xyz
'x,y,z'
loop_
_atom_site_label
_atom_site_type_symbol
_atom_site_fract_x
_atom_site_fract_y
_atom_site_fract_z
_atom_site_occupancy
Li1 Li 0.000 0.000 0.000 1
Mg1 Mg 0.500 0.500 0.500 1
S1 S 0.000 0.500 0.500 1
S2 S 0.500 0.000 0.500 1
Cl1 Cl 0.500 0.500 0.000 1
```

## Properties
Calculated volume (Å³ per atom): 23.989


Structures ranked by computed energy, the most stable listed first: (Q), (P).